Below is crystalline HfSe2I2 at its relaxed geometry, with properties calculated at the PBE level.

Output
Uncorrected energy (eV/atom): -4.854
Formation energy from raw total energies (eV/atom): -0.8495

Lattice parameters (Å, degrees): 7.3714 7.3771 8.2700 80.16 70.00 60.03
Atoms (fractional coordinates):
Se  0.3031  0.0000  0.9047
Se  0.1168  0.0000  0.7227
Se  0.6969  0.0000  0.0953
Se  0.8832  0.0000  0.2773
Hf  0.1358  0.7285  0.0000
Hf  0.8642  0.2715  0.0000
I  0.0271  0.4152  0.2209
I  0.4423  0.5848  0.2209
I  0.9729  0.5848  0.7791
I  0.5577  0.4152  0.7791

Below is crystalline TaCu2As at its relaxed geometry, with properties calculated at the PBE level.

Output
Uncorrected energy (eV/atom): -6.089
Formation enthalpy at 0 K (eV per atom): 0.084

Lattice parameters (Å, degrees): 5.2886 5.2886 5.2886 146.66 132.57 59.21
Atoms (fractional coordinates):
Cu  0.4864  0.4864  0.0000
Cu  0.0136  0.0136  0.0000
Ta  0.7500  0.2500  0.5000
As  0.2500  0.7500  0.5000

Below is crystalline BaCaP2 at its relaxed geometry, with properties calculated at the PBE level.

Output
Distance to the lowest polymorph of the same formula (kJ/mol of formula units): 113
Uncorrected energy (eV/atom): -4.289
Formation enthalpy at 0 K (eV per atom): -0.603

Lattice parameters (Å, degrees): 5.0885 4.1666 5.0845 90.04 90.00 90.00
Atoms (fractional coordinates):
P  0.0000  0.1008  0.8748
P  0.5000  0.1013  0.3755
Ba  0.0000  0.5702  0.3748
Ca  0.5000  0.7277  0.8749

Below is crystalline DyHS2 at its relaxed geometry, with properties calculated at the PBE level.

Output
Distance to the lowest polymorph of the same formula (kJ/mol of formula units): 17
Uncorrected energy (eV/atom): -5.343

Lattice parameters (Å, degrees): 4.0897 4.0897 6.5311 71.75 71.75 60.00
Atoms (fractional coordinates):
Dy  0.5000  0.5000  0.5000
S  0.0892  0.0892  0.7323
S  0.9108  0.9108  0.2677
H  0.0000  0.0000  0.0000